# KHoTe3Au

An optimized crystal structure of KHoTe3Au (GGA-PBE, OQMD via LeMat-Bulk).

Values from the calculation:
Electronic total energy: -95.112 eV for the cell shown
Mass density: 6.37 Mg/m³

Cell lengths 16.6098, 4.2903, 11.4601 Å; angles 90.00, 90.00, 90.00 degrees
Space group Pnma (No. 62)
Inequivalent atoms, fractional coordinates:
K: 0.2318 0.2500 0.0462 (multiplicity 4)
Ho: 0.0191 0.2500 0.3370 (multiplicity 4)
Te: 0.0936 0.7500 0.8786 (multiplicity 4)
Te: 0.1005 0.2500 0.5768 (multiplicity 4)
Te: 0.1397 0.7500 0.2588 (multiplicity 4)
Au: 0.0140 0.7500 0.1030 (multiplicity 4)